Arrangement A

Material: NaMgBi3
Method: DFT, PBE
State: relaxed

size of the total moment: 0.00 Bohr magnetons per cell

Geometry as CIF:
```
data_NaMgBi3
_cell_length_a 5.5291
_cell_length_b 5.5291
_cell_length_c 5.5291
_cell_angle_alpha 90.00
_cell_angle_beta 90.00
_cell_angle_gamma 90.00
_symmetry_space_group_name_H-M 'P 1'
_symmetry_Int_Tables_number 1
_symmetry_space_group_name_Hall 'P 1'
loop_
_atom_site_label
_atom_site_type_symbol
_atom_site_fract_x
_atom_site_fract_y
_atom_site_fract_z
Bi1 Bi 0.5000 0.0000 0.0000
Bi2 Bi 0.0000 0.0000 0.5000
Bi3 Bi 0.0000 0.5000 0.0000
Mg1 Mg 0.5000 0.5000 0.5000
Na1 Na 0.0000 0.0000 0.0000
```

Arrangement B

Material: NaMgBi3
Method: DFT, PBE
State: relaxed

size of the total moment: 0.00 Bohr magnetons per cell

Geometry as CIF:
```
data_NaMgBi3
_cell_length_a 5.6162
_cell_length_b 5.6162
_cell_length_c 5.6162
_cell_angle_alpha 90.00
_cell_angle_beta 90.00
_cell_angle_gamma 90.00
_symmetry_space_group_name_H-M 'P 1'
_symmetry_Int_Tables_number 1
_symmetry_space_group_name_Hall 'P 1'
loop_
_atom_site_label
_atom_site_type_symbol
_atom_site_fract_x
_atom_site_fract_y
_atom_site_fract_z
Bi1 Bi 0.0000 0.0000 0.5000
Bi2 Bi 0.5000 0.0000 0.0000
Bi3 Bi 0.0000 0.5000 0.0000
Mg1 Mg 0.0000 0.0000 0.0000
Na1 Na 0.5000 0.5000 0.5000
```

Which of them is the most stable, and which is the least stable? arrangement B and arrangement A, in that order.